AlCdSe2Br | PBE | relaxed

The structure in POSCAR format:
```
AlCdSe2Br
1.0
5.2312 0.0000 0.0000
0.0000 5.2312 0.0000
0.0000 0.0000 5.7000
Al Cd Se Br
1 1 2 1
Direct
0.0000 0.0000 0.0000 Al
0.5000 0.5000 0.5000 Cd
0.0000 0.5000 0.5000 Se
0.5000 0.0000 0.5000 Se
0.5000 0.5000 0.0000 Br
```

For the total DFT energy (no corrections), the calculation gives -0.1756 Ry per atom. The space-group type is P4/mmm.


AlCdSe2Br | PBE | relaxed

The structure in POSCAR format:
```
AlCdSe2Br
1.0
5.0119 0.0000 0.0000
0.0000 5.0119 0.0000
0.0000 0.0000 4.9566
Al Cd Se Br
1 1 2 1
Direct
0.0000 0.0000 0.0000 Al
0.5000 0.5000 0.5000 Cd
0.0000 0.5000 0.0000 Se
0.5000 0.0000 0.0000 Se
0.0000 0.0000 0.5000 Br
```

For the total DFT energy (no corrections), the calculation gives -0.2096 Ry per atom. The space-group type is P4/mmm.